Entry 1:
Material: CsKCd2Pd
Method: DFT, PBE
State: optimized geometry

- ΔE_f (eV/atom) = -0.029
- ΔE to the lowest computed polymorph (meV per atom) = 69.7
- space-group type = P4/mmm
- DOS(E_F) (states/eV/f.u.) = 3.2

```
5
Lattice="-0.9892 1.7966 5.0722 3.9401 -3.2705 1.9269 4.1989 4.5844 -0.8050" Properties=species:S:1:pos:R:3 pbc="T T T"
Cs 2.0995 2.2922 -0.4025
K 3.5749 1.5553 3.0970
Pd 0.0000 0.0000 0.0000
Cd 1.9701 -1.6353 0.9634
Cd -0.4946 0.8983 2.5361
```

Entry 2:
Material: Cs2KCdPd
Method: DFT, PBE
State: optimized geometry

- ΔE_f (eV/atom) = 0.014
- ΔE to the lowest computed polymorph (meV per atom) = 0.0
- space-group type = P4/mmm
- DOS(E_F) (states/eV/f.u.) = 2.4

```
5
Lattice="-2.9777 1.7743 6.0298 0.9906 -6.4563 2.3890 4.8311 1.4646 1.9548" Properties=species:S:1:pos:R:3 pbc="T T T"
Cs 0.4953 -3.2282 1.1945
Cs -1.4889 0.8872 3.0149
K 1.4220 -1.6087 5.1868
Pd 0.0000 0.0000 0.0000
Cd 2.4156 0.7323 0.9774
```

Entry 3:
Material: CsKCd2Pd
Method: DFT, PBE
State: optimized geometry

- ΔE_f (eV/atom) = -0.099
- ΔE to the lowest computed polymorph (meV per atom) = 0.0
- space-group type = P4/mmm
- DOS(E_F) (states/eV/f.u.) = 2.8

```
5
Lattice="5.4919 0.0000 0.0000 0.0000 5.4919 0.0000 0.0000 0.0000 5.9823" Properties=species:S:1:pos:R:3 pbc="T T T"
Cs 2.7459 2.7459 2.9912
K 0.0000 0.0000 2.9912
Pd 0.0000 0.0000 0.0000
Cd 0.0000 2.7459 0.0000
Cd 2.7459 0.0000 0.0000
```

Entry 4:
Material: Cs2KCdPt
Method: DFT, PBE
State: optimized geometry

- ΔE_f (eV/atom) = -0.009
- space-group type = P4/mmm
- DOS(E_F) (states/eV/f.u.) = 2.9

```
5
Lattice="6.8718 0.0000 0.0000 0.0000 6.8718 0.0000 0.0000 0.0000 5.3685" Properties=species:S:1:pos:R:3 pbc="T T T"
Cs 0.0000 3.4359 0.0000
Cs 3.4359 0.0000 0.0000
K 3.4359 3.4359 2.6843
Pt 0.0000 0.0000 0.0000
Cd 0.0000 0.0000 2.6843
```

Entry 5:
Material: CsKRb2Cd
Method: DFT, PBE
State: optimized geometry

- ΔE_f (eV/atom) = 0.042
- ΔE to the lowest computed polymorph (meV per atom) = 20.0
- space-group type = P4/mmm
- DOS(E_F) (states/eV/f.u.) = 4.4

```
5
Lattice="7.3286 0.0000 0.0000 0.0000 7.3286 0.0000 0.0000 0.0000 7.5602" Properties=species:S:1:pos:R:3 pbc="T T T"
Cs 0.0000 0.0000 3.7801
K 3.6643 3.6643 3.7801
Rb 0.0000 3.6643 0.0000
Rb 3.6643 0.0000 0.0000
Cd 0.0000 0.0000 0.0000
```

Entry 6:
Material: CsKRb2Cd
Method: DFT, PBE
State: optimized geometry

- ΔE_f (eV/atom) = 0.022
- ΔE to the lowest computed polymorph (meV per atom) = 0.0
- space-group type = P4/mmm
- DOS(E_F) (states/eV/f.u.) = 3.8

```
5
Lattice="7.3865 0.0000 0.0000 0.0000 7.3865 0.0000 0.0000 0.0000 7.1838" Properties=species:S:1:pos:R:3 pbc="T T T"
Cs 3.6933 3.6933 3.5919
K 0.0000 0.0000 3.5919
Rb 0.0000 3.6933 0.0000
Rb 3.6933 0.0000 0.0000
Cd 0.0000 0.0000 0.0000
```

Entry 7:
Material: Cs2KRbCd
Method: DFT, PBE
State: optimized geometry

- ΔE_f (eV/atom) = 0.038
- ΔE to the lowest computed polymorph (meV per atom) = 10.8
- space-group type = P4/mmm
- DOS(E_F) (states/eV/f.u.) = 5.3

```
5
Lattice="-4.9110 -4.0487 4.1850 3.0675 -6.4522 -2.6426 4.7861 -0.0178 5.5990" Properties=species:S:1:pos:R:3 pbc="T T T"
Cs 1.5337 -3.2261 -1.3213
Cs -2.4555 -2.0244 2.0925
K 1.4713 -5.2594 3.5707
Rb 2.3930 -0.0089 2.7995
Cd 0.0000 0.0000 0.0000
```

Entry 8:
Material: CsK2Rb6Cd
Method: DFT, PBE
State: optimized geometry

- ΔE_f (eV/atom) = 0.024
- space-group type = P1
- DOS(E_F) (states/eV/f.u.) = 8.7

```
10
Lattice="-5.3499 -10.5430 -5.5817 -1.9897 -10.7812 7.1262 -7.3954 -5.3030 1.8854" Properties=species:S:1:pos:R:3 pbc="T T T"
Cs -10.0749 -20.3261 2.2739
K -6.8430 -13.5144 1.6016
K -5.9426 -5.8170 1.4839
Rb -5.3579 -9.8473 -0.8283
Rb -5.1133 -14.1624 5.8245
Rb -8.0271 -17.2476 -0.8654
Rb -9.7070 -15.9647 4.3664
Rb -10.0771 -12.6253 -1.6497
Rb -7.4599 -9.4733 3.8591
Cd -2.7009 -7.0225 0.5893
```

Entry 9:
Material: CsK5Rb2Cd
Method: DFT, PBE
State: optimized geometry

- ΔE_f (eV/atom) = 0.058
- space-group type = Immm
- DOS(E_F) (states/eV/f.u.) = 7.0

```
9
Lattice="-6.8207 -0.7393 -0.8194 1.3790 -2.4530 -9.2654 3.5231 -9.0662 7.9847" Properties=species:S:1:pos:R:3 pbc="T T T"
Cs 0.6895 -1.2265 -4.6327
K -2.1983 -4.6464 -6.6399
K 0.2797 -7.6122 4.5398
K 0.9563 -8.8158 -0.0065
K -2.8749 -3.4428 -2.0936
K 0.0000 0.0000 0.0000
Rb 0.3339 -4.4375 1.2245
Rb -2.2525 -7.8210 -3.3247
Cd -3.4103 -0.3696 -0.4097
```

Entry 10:
Material: Cs2KRbCd
Method: DFT, PBE
State: optimized geometry

- ΔE_f (eV/atom) = 0.027
- ΔE to the lowest computed polymorph (meV per atom) = 0.0
- space-group type = P4/mmm
- DOS(E_F) (states/eV/f.u.) = 5.2

```
5
Lattice="-1.0867 7.3852 1.6158 -5.3495 0.4023 -5.4363 -5.0233 -1.7916 4.8105" Properties=species:S:1:pos:R:3 pbc="T T T"
Cs -2.6748 0.2011 -2.7182
Cs -0.5433 3.6926 0.8079
K -2.5116 -0.8958 2.4053
Rb -5.7297 2.9979 0.4950
Cd 0.0000 0.0000 0.0000
```

Entry 11:
Material: CsK2RbCd
Method: DFT, PBE
State: optimized geometry

- ΔE_f (eV/atom) = 0.021
- ΔE to the lowest computed polymorph (meV per atom) = 0.0
- space-group type = P4/mmm
- DOS(E_F) (states/eV/f.u.) = 3.9

```
5
Lattice="7.1316 0.0000 0.0000 0.0000 7.1316 0.0000 0.0000 0.0000 7.3330" Properties=species:S:1:pos:R:3 pbc="T T T"
Cs 3.5658 3.5658 3.6665
K 0.0000 3.5658 0.0000
K 3.5658 0.0000 0.0000
Rb 0.0000 0.0000 3.6665
Cd 0.0000 0.0000 0.0000
```

Entry 12:
Material: Cs2KRb4Cd2
Method: DFT, PBE
State: optimized geometry

- ΔE_f (eV/atom) = -0.007
- space-group type = P-1
- DOS(E_F) (states/eV/f.u.) = 6.2

```
9
Lattice="8.0772 1.0419 -1.1493 0.2985 9.9819 -0.3634 -5.3772 -6.2774 8.9449" Properties=species:S:1:pos:R:3 pbc="T T T"
Cs -0.4776 3.5438 3.1438
Cs 3.4760 1.2026 4.2884
K 0.0000 0.0000 0.0000
Rb -0.4918 1.5525 7.9319
Rb 3.5597 6.4219 3.3154
Rb 3.4902 3.1939 -0.4997
Rb -0.5613 -1.6755 4.1168
Cd 2.1715 -1.4368 6.9944
Cd 0.8269 6.1832 0.4378
```

Entry 13:
Material: CsK2RbCd
Method: DFT, PBE
State: optimized geometry

- ΔE_f (eV/atom) = 0.031
- ΔE to the lowest computed polymorph (meV per atom) = 9.8
- space-group type = P4/mmm
- DOS(E_F) (states/eV/f.u.) = 4.3

```
5
Lattice="-1.5933 2.7080 -6.3852 -6.8916 0.1195 1.7703 0.8249 6.9510 2.7421" Properties=species:S:1:pos:R:3 pbc="T T T"
Cs 0.4125 3.4755 1.3711
K -3.4458 0.0597 0.8852
K -0.7966 1.3540 -3.1926
Rb -3.8300 4.8893 -0.9364
Cd 0.0000 0.0000 0.0000
```

Entry 14:
Material: Cs6KRb2Cd
Method: DFT, PBE
State: optimized geometry

- ΔE_f (eV/atom) = 0.010
- space-group type = P1
- DOS(E_F) (states/eV/f.u.) = 9.0

```
10
Lattice="13.7746 -0.0021 -0.0018 6.8857 11.9271 0.0009 6.8879 3.9748 5.6145" Properties=species:S:1:pos:R:3 pbc="T T T"
Cs 11.0643 3.7536 1.5387
Cs 11.4940 12.3955 1.5373
Cs 18.7616 7.7036 1.5351
Cs 16.0575 11.4610 4.6549
Cs 15.6793 4.2116 4.6620
Cs 9.5899 8.1754 4.6582
K 20.6613 11.9271 3.0873
Rb 13.7733 7.9445 2.0355
Rb 6.8863 3.9777 4.1549
Cd 6.8867 3.9738 0.2894
```

Entry 15:
Material: CsK8Rb2Cd
Method: DFT, PBE
State: optimized geometry

- ΔE_f (eV/atom) = 0.017
- space-group type = P-1
- DOS(E_F) (states/eV/f.u.) = 10.4

```
12
Lattice="8.2731 -3.0109 0.3975 -3.4826 8.0981 -0.2420 0.2106 -0.6727 15.5559" Properties=species:S:1:pos:R:3 pbc="T T T"
Cs 0.1053 -0.3364 7.7779
K -1.8674 6.4809 2.8374
K 1.1599 3.2444 15.3614
K 6.3513 -1.2688 2.8093
K 6.8685 -2.0665 12.8740
K 3.8411 1.1700 0.3500
K -1.3503 5.6832 12.9021
K 0.0887 4.4505 9.0292
K 4.9123 -0.0361 6.6823
Rb 3.2620 1.3873 11.1696
Rb 1.7390 3.0271 4.5419
Cd 0.0000 0.0000 0.0000
```

Entry 16:
Material: CsK2Rb8Cd
Method: DFT, PBE
State: optimized geometry

- ΔE_f (eV/atom) = 0.019
- space-group type = P-1
- DOS(E_F) (states/eV/f.u.) = 9.2

```
12
Lattice="9.1239 -3.3237 0.0843 -4.0234 8.8330 0.1635 -0.2664 -0.4007 14.4542" Properties=species:S:1:pos:R:3 pbc="T T T"
Cs -0.1332 -0.2004 7.2271
K 2.3888 2.4532 10.6874
K 2.4453 2.6553 4.0147
Rb -2.0842 6.8857 3.1322
Rb 0.5867 3.9208 14.5746
Rb 7.0543 -1.5675 3.0632
Rb 6.9183 -1.7771 11.5699
Rb 4.2475 1.1877 0.1275
Rb -2.2201 6.6761 11.6389
Rb 0.0357 4.7544 7.4063
Rb 4.7984 0.3541 7.2958
Cd 0.0000 0.0000 0.0000
```

Entry 17:
Material: CsK2Rb4Cd
Method: DFT, PBE
State: optimized geometry

- ΔE_f (eV/atom) = 0.027
- space-group type = P2/m
- DOS(E_F) (states/eV/f.u.) = 5.5

```
8
Lattice="-4.1456 -1.7873 5.0662 -3.5224 -3.8812 -4.2515 4.2899 -14.0321 -1.4398" Properties=species:S:1:pos:R:3 pbc="T T T"
Cs -3.8340 -2.8342 0.4074
K 4.2899 -14.0321 -1.4398
K 0.0721 -7.9097 1.8132
Rb 0.2391 -12.9871 -4.3858
Rb -3.6172 -6.7135 3.7608
Rb -3.3074 -7.7504 -0.8960
Rb -0.0707 -11.9501 0.2710
Cd 0.3838 -8.9567 -2.8456
```

Entry 18:
Material: CsK2CdRu
Method: DFT, PBE
State: optimized geometry

- ΔE_f (eV/atom) = 1.127
- space-group type = P4/mmm
- DOS(E_F) (states/eV/f.u.) = 5.7

```
5
Lattice="6.5435 0.0000 0.0000 0.0000 6.9814 0.0000 0.0000 0.0000 6.5435" Properties=species:S:1:pos:R:3 pbc="T T T"
Cs 0.0000 3.4907 0.0000
Ru 3.2718 3.4907 3.2718
K 0.0000 0.0000 3.2718
K 3.2718 0.0000 0.0000
Cd 0.0000 0.0000 0.0000
```

Entry 19:
Material: Cs2KCdSb2
Method: DFT, PBE
State: optimized geometry

- total DFT energy (no corrections) (eV/atom) = -2.36
- space-group type = Ibam
- DOS(E_F) (states/eV/f.u.) = 6.4

```
12
Lattice="8.3164 0.0000 0.0000 0.0000 7.6645 0.0000 -4.1582 -3.8323 8.4293" Properties=species:S:1:pos:R:3 pbc="T T T"
Cs 2.2155 0.0000 2.8779
Cs 1.9426 3.8323 5.5515
Cs -1.9426 0.0000 5.5515
Cs 6.1008 3.8323 2.8779
K 0.0000 5.7484 0.0000
K 0.0000 1.9161 0.0000
Cd 4.1582 5.7484 0.0000
Cd 4.1582 1.9161 0.0000
Sb 5.8006 0.0000 1.5617
Sb 2.5157 3.8323 1.5617
Sb 1.6425 0.0000 6.8676
Sb -1.6425 3.8323 6.8676
```

Entry 20:
Material: CsK2Cd2Sb2
Method: DFT, PBE
State: optimized geometry

- total DFT energy (no corrections) (eV/atom) = -2.18
- space-group type = R-3m
- DOS(E_F) (states/eV/f.u.) = 3.1

```
7
Lattice="-1.0013 4.9434 1.3855 -3.2083 0.9936 4.0099 7.6597 1.7678 9.1020" Properties=species:S:1:pos:R:3 pbc="T T T"
Cs 0.0000 0.0000 0.0000
K 3.9410 1.8544 6.1052
K -0.4909 5.8503 8.3922
Cd -0.5379 3.9051 5.4250
Cd 3.9880 3.7996 9.0723
Sb 2.5919 5.7784 10.8765
Sb 0.8582 1.9263 3.6208
```